Record 1
Ta2CrPW | PBE | optimized geometry

## Properties
space group	No. 123
formation enthalpy at 0 K	0.53	eV/atom
DFT total energy	-9.81	eV/atom

Lattice parameters (Å, degrees): 4.6325 4.0076 4.6325 90.00 90.00 90.00
Each line ends with the local moment (μB).
Sites, in units of the cell vectors:
Ta  0.0000  0.0000  0.5000  -0.01
Ta  0.5000  0.0000  0.0000  0.02
Cr  0.0000  0.5000  0.0000  0.73
W  0.5000  0.5000  0.5000  0.11
P  0.0000  0.0000  0.0000  -0.01



Record 2
TbCrP2 | PBE | optimized geometry

## Properties
space group	No. 166
formation enthalpy at 0 K	-0.91	eV/atom
DFT total energy	-7.17	eV/atom

Lattice parameters (Å, degrees): 3.7972 3.7972 6.1808 72.11 72.11 60.00
Each line ends with the local moment (μB).
Sites, in units of the cell vectors:
P  0.7336  0.7336  0.7992  -0.07
P  0.2664  0.2664  0.2008  -0.07
Tb  0.5000  0.5000  0.5000  -0.07
Cr  0.0000  0.0000  0.0000  2.71



Which of these has the lowest formation enthalpy at 0 K? TbCrP2



Which formula does entry 2 have? TbCrP2



Among the records above, which one has the highest formation enthalpy at 0 K? Ta2CrPW